Computed, not measured: a geometry-optimized PmY2Ho7 structure at the PBE-GGA level of DFT.

Summary:
Its density of states at the Fermi level is 1.4395 states/eV/atom. As for the mass density: 7.78 Mg/m³. Its formation enthalpy at 0 K is 2 kJ per mole of atoms. Its offset from the most stable computed form is 0.00 kcal/mol of atoms.

a = 6.1397 Å, b = 7.0943 Å, c = 7.9272 Å
α = 77.05°, β = 75.07°, γ = 73.27°
Space group P-1 (No. 2)
Inequivalent atoms, fractional coordinates:
Pm (0.0000, 0.0000, 0.0000) (multiplicity 1)
Y (0.2022, 0.7988, 0.5996) (multiplicity 2)
Ho (0.0000, 0.5000, 0.0000) (multiplicity 1)
Ho (0.1993, 0.3008, 0.6002) (multiplicity 2)
Ho (0.3999, 0.1004, 0.1995) (multiplicity 2)
Ho (0.3995, 0.5996, 0.2000) (multiplicity 2)